Compound: K4Er3VO8
Source: the Alexandria database
Functional: GGA+U
Structure: relaxed

Computed properties:
The space group is C2/m, No. 12. The value obtained for the total moment is 2.00 μB per cell. As for the total DFT energy (no corrections): -6.605 eV per atom.

Structure (POSCAR):
```
K4Er3VO8
1.0
5.8723 -3.3581 0.0000
5.8723 3.3581 0.0000
-3.8970 0.0000 6.2146
K Er V O
4 3 1 8
Direct
0.0000 0.0000 0.0000 K
0.0000 0.5000 0.0000 K
0.5000 0.0000 0.0000 K
0.5000 0.5000 0.0000 K
0.0000 0.0000 0.5000 Er
0.0000 0.5000 0.5000 Er
0.5000 0.0000 0.5000 Er
0.5000 0.5000 0.5000 V
0.2274 0.2274 0.6852 O
0.2458 0.7156 0.6777 O
0.2717 0.2717 0.3125 O
0.2844 0.7542 0.3223 O
0.7156 0.2458 0.6777 O
0.7283 0.7283 0.6875 O
0.7542 0.2844 0.3223 O
0.7726 0.7726 0.3148 O
```